1.
Below is TaAl2In after structural relaxation, with properties calculated at the GGA-PBE level.

Uncorrected energy, eV for the cell shown: -21.74
Energy of formation, eV per atom: 0.084

Cell lengths 5.6360, 5.6360, 5.6360 Å; angles 148.35, 128.74, 61.51 degrees
Element x y z (fractional)
Al 0.9988 0.9988 0.0000
Al 0.7595 0.2595 0.5000
Ta 0.2380 0.7380 0.5000
In 0.5037 0.5037 0.0000

=====

2.
Below is TaAl2In after structural relaxation, with properties calculated at the GGA-PBE level.

Uncorrected energy, eV for the cell shown: -21.72
Energy of formation, eV per atom: 0.088

Cell lengths 2.8964, 2.8964, 8.8924 Å; angles 90.00, 90.00, 90.02 degrees
Element x y z (fractional)
In 0.0000 0.0000 0.5062
Al 0.0000 0.0000 0.9954
Ta 0.5000 0.5000 0.7692
Al 0.5000 0.5000 0.2293

=====

3.
Below is TaAl2In after structural relaxation, with properties calculated at the GGA-PBE level.

Uncorrected energy, eV for the cell shown: -21.87
Energy of formation, eV per atom: 0.052

Cell lengths 3.1183, 4.0417, 5.7684 Å; angles 90.00, 90.00, 90.00 degrees
Element x y z (fractional)
Al 0.5000 0.5000 0.2433
In 0.0000 0.0000 0.4943
Ta 0.5000 0.5000 0.7680
Al 0.0000 0.0000 0.9943

=====

4.
Below is Ta2AlIn after structural relaxation, with properties calculated at the GGA-PBE level.

Uncorrected energy, eV for the cell shown: -30.02
Energy of formation, eV per atom: 0.041

Cell lengths 4.3938, 4.0776, 4.0776 Å; angles 90.00, 90.00, 90.00 degrees
Element x y z (fractional)
Ta 0.0000 0.5000 0.5000
Al 0.5000 0.5000 0.0000
Ta 0.0000 0.0000 0.0000
In 0.5000 0.0000 0.5000

=====

5.
Below is Ta2AlIn after structural relaxation, with properties calculated at the GGA-PBE level.

Uncorrected energy, eV for the cell shown: -29.72
Energy of formation, eV per atom: 0.117

Cell lengths 5.2204, 5.2204, 5.1501 Å; angles 83.31, 83.31, 32.15 degrees
Element x y z (fractional)
In 0.7512 0.7512 0.7532
Ta 0.0010 0.0010 0.0028
Al 0.5035 0.5035 0.4869
Ta 0.2443 0.2443 0.2571

=====

6.
Below is TaAl2In after structural relaxation, with properties calculated at the GGA-PBE level.

Uncorrected energy, eV for the cell shown: -21.76
Energy of formation, eV per atom: 0.078

Cell lengths 5.1119, 5.1119, 2.9714 Å; angles 90.00, 90.00, 110.33 degrees
Element x y z (fractional)
Al 0.0000 0.0000 0.0000
Al 0.5000 0.5000 0.0000
Ta 0.0000 0.5000 0.5000
In 0.5000 0.0000 0.5000

=====

7.
Below is TaAl2In after structural relaxation, with properties calculated at the GGA-PBE level.

Uncorrected energy, eV for the cell shown: -21.86
Energy of formation, eV per atom: 0.054

Cell lengths 3.5700, 3.5700, 5.8282 Å; angles 90.00, 90.00, 90.00 degrees
Element x y z (fractional)
Al 0.0000 0.0000 0.5282
Al 0.0000 0.0000 0.9718
Ta 0.5000 0.5000 0.7500
In 0.5000 0.5000 0.2500

=====

8.
Below is TaAl3In after structural relaxation, with properties calculated at the GGA-PBE level.

Energy relative to the lowest polymorph listed for this composition, meV per atom: 771
Uncorrected energy, eV for the cell shown: -18.10
Energy of formation, eV per atom: 1.544

Cell lengths 4.9488, 4.9488, 4.9488 Å; angles 90.00, 90.00, 90.00 degrees
Element x y z (fractional)
Al 0.0000 0.0000 0.5000
Al 0.0000 0.5000 0.0000
Al 0.5000 0.0000 0.0000
Ta 0.5000 0.5000 0.5000
In 0.0000 0.0000 0.0000

=====

9.
Below is TaAl2In after structural relaxation, with properties calculated at the GGA-PBE level.

Uncorrected energy, eV for the cell shown: -21.66
Energy of formation, eV per atom: 0.104

Cell lengths 5.6124, 5.6124, 5.6124 Å; angles 147.77, 128.11, 62.41 degrees
Element x y z (fractional)
Al 0.0110 0.0110 0.0000
Al 0.4890 0.4890 0.0000
Ta 0.2500 0.7500 0.5000
In 0.7500 0.2500 0.5000

=====

10.
Below is TaAl2In after structural relaxation, with properties calculated at the GGA-PBE level.

Uncorrected energy, eV for the cell shown: -21.91
Energy of formation, eV per atom: 0.041

Cell lengths 9.4976, 9.4976, 9.4976 Å; angles 18.55, 18.55, 18.55 degrees
Element x y z (fractional)
Al 0.0051 0.0051 0.0051
Ta 0.7500 0.7500 0.7500
In 0.2500 0.2500 0.2500
Al 0.4949 0.4949 0.4949

=====

11.
Below is TaAlIn after structural relaxation, with properties calculated at the GGA-PBE level.

Energy relative to the lowest polymorph listed for this composition, meV per atom: 46
Uncorrected energy, eV for the cell shown: -17.84
Energy of formation, eV per atom: 0.165

Cell lengths 5.5125, 5.5125, 5.5125 Å; angles 148.34, 139.39, 52.38 degrees
Element x y z (fractional)
In 0.3352 0.3352 0.0000
Al 0.0138 0.0138 0.0000
Ta 0.6510 0.6510 0.0000

=====

12.
Below is Ta3AlIn after structural relaxation, with properties calculated at the GGA-PBE level.

Energy relative to the lowest polymorph listed for this composition, meV per atom: 0
Uncorrected energy, eV for the cell shown: -36.31
Energy of formation, eV per atom: 1.147

Cell lengths 4.7289, 4.7289, 4.7289 Å; angles 90.00, 90.00, 90.00 degrees
Element x y z (fractional)
In 0.5000 0.5000 0.5000
Ta 0.0000 0.5000 0.0000
Ta 0.5000 0.0000 0.0000
Al 0.0000 0.0000 0.0000
Ta 0.0000 0.0000 0.5000